[1]
# Ce6C2Br3N, relaxed, DFT PBE
# **Density**: 7.06 Mg/m³
# **Crystal system**: monoclinic
# **E_form (uncorrected)**: -1024 meV/atom
data_Ce6C2Br3N
_cell_length_a 6.375
_cell_length_b 6.375
_cell_length_c 7.766
_cell_angle_alpha 97.87
_cell_angle_beta 97.87
_cell_angle_gamma 120.00
_symmetry_space_group_name_H-M 'P 1'
_symmetry_Int_Tables_number 1
loop_
_symmetry_equiv_pos_as_xyz
'x,y,z'
loop_
_atom_site_label
_atom_site_fract_x
_atom_site_fract_y
_atom_site_fract_z
_atom_site_occupancy
Ce1 0.061 0.391 0.183 1
Ce2 0.269 0.269 0.817 1
Ce3 0.391 0.061 0.183 1
Ce4 0.609 0.939 0.817 1
Ce5 0.731 0.731 0.183 1
Ce6 0.939 0.609 0.817 1
C1 0.334 0.666 0.000 1
C2 0.666 0.334 0.000 1
Br1 0.168 0.832 0.500 1
Br2 0.500 0.500 0.500 1
Br3 0.832 0.168 0.500 1
N1 0.000 0.000 0.000 1

***

[2]
# Pm8Sm3Ho2, relaxed, DFT PBE
# **Density**: 7.30 Mg/m³
# **Relative energy among the computed polymorphs**: 0.000 eV/atom
# **Crystal system**: monoclinic
# **Calculated formation energy**: 104 meV per atom
data_Pm8Sm3Ho2
_cell_length_a 6.262
_cell_length_b 6.262
_cell_length_c 12.338
_cell_angle_alpha 100.91
_cell_angle_beta 100.91
_cell_angle_gamma 69.71
_symmetry_space_group_name_H-M 'P 1'
_symmetry_Int_Tables_number 1
loop_
_symmetry_equiv_pos_as_xyz
'x,y,z'
loop_
_atom_site_label
_atom_site_fract_x
_atom_site_fract_y
_atom_site_fract_z
_atom_site_occupancy
Pm1 0.147 0.680 0.704 1
Pm2 0.225 0.225 0.860 1
Pm3 0.312 0.312 0.168 1
Pm4 0.320 0.853 0.296 1
Pm5 0.680 0.147 0.704 1
Pm6 0.688 0.688 0.832 1
Pm7 0.775 0.775 0.140 1
Pm8 0.853 0.320 0.296 1
Sm1 0.241 0.759 0.000 1
Sm2 0.500 0.500 0.500 1
Sm3 0.759 0.241 0.000 1
Ho1 0.153 0.153 0.562 1
Ho2 0.847 0.847 0.438 1

***

[3]
# KMgNi2H8, relaxed, DFT PBE
# **Density**: 2.62 Mg/m³
# **Crystal system**: trigonal
data_KMgNi2H8
_cell_length_a 6.874
_cell_length_b 6.874
_cell_length_c 6.874
_cell_angle_alpha 39.78
_cell_angle_beta 39.78
_cell_angle_gamma 39.78
_symmetry_space_group_name_H-M 'P 1'
_symmetry_Int_Tables_number 1
loop_
_symmetry_equiv_pos_as_xyz
'x,y,z'
loop_
_atom_site_label
_atom_site_fract_x
_atom_site_fract_y
_atom_site_fract_z
_atom_site_occupancy
K1 0.000 0.000 0.000 1
Mg1 0.500 0.500 0.500 1
Ni1 0.186 0.186 0.186 1
Ni2 0.814 0.814 0.814 1
H1 0.081 0.882 0.408 1
H2 0.118 0.592 0.919 1
H3 0.269 0.269 0.269 1
H4 0.408 0.081 0.882 1
H5 0.592 0.919 0.118 1
H6 0.731 0.731 0.731 1
H7 0.882 0.408 0.081 1
H8 0.919 0.118 0.592 1

***

[4]
# Er3Ga9Pd2, relaxed, DFT PBE
# **Density**: 8.77 Mg/m³
# **Crystal system**: orthorhombic
# **Calculated formation energy**: -634 meV per atom
data_Er3Ga9Pd2
_cell_length_a 8.140
_cell_length_b 8.140
_cell_length_c 8.140
_cell_angle_alpha 149.59
_cell_angle_beta 108.33
_cell_angle_gamma 79.81
_symmetry_space_group_name_H-M 'P 1'
_symmetry_Int_Tables_number 1
loop_
_symmetry_equiv_pos_as_xyz
'x,y,z'
loop_
_atom_site_label
_atom_site_fract_x
_atom_site_fract_y
_atom_site_fract_z
_atom_site_occupancy
Er1 0.000 0.000 0.000 1
Er2 0.304 0.304 0.000 1
Er3 0.696 0.696 0.000 1
Ga1 0.025 0.657 0.369 1
Ga2 0.144 0.862 0.281 1
Ga3 0.288 0.657 0.631 1
Ga4 0.419 0.138 0.281 1
Ga5 0.500 0.000 0.500 1
Ga6 0.581 0.862 0.719 1
Ga7 0.712 0.343 0.369 1
Ga8 0.856 0.138 0.719 1
Ga9 0.975 0.343 0.631 1
Pd1 0.310 0.500 0.810 1
Pd2 0.690 0.500 0.190 1

***

[5]
# AcZnP4, relaxed, DFT PBE
# **Density**: 5.86 Mg/m³
# **Crystal system**: cubic
# **Calculated formation energy**: -154 meV per atom
data_AcZnP4
_cell_length_a 5.505
_cell_length_b 5.505
_cell_length_c 5.505
_cell_angle_alpha 60.00
_cell_angle_beta 60.00
_cell_angle_gamma 60.00
_symmetry_space_group_name_H-M 'P 1'
_symmetry_Int_Tables_number 1
loop_
_symmetry_equiv_pos_as_xyz
'x,y,z'
loop_
_atom_site_label
_atom_site_fract_x
_atom_site_fract_y
_atom_site_fract_z
_atom_site_occupancy
Ac1 0.000 0.000 0.000 1
Zn1 0.750 0.750 0.750 1
P1 0.391 0.391 0.391 1
P2 0.391 0.391 0.827 1
P3 0.391 0.827 0.391 1
P4 0.827 0.391 0.391 1

***

[6]
# AcGa5Pt2Au, relaxed, DFT PBE
# **Density**: 9.60 Mg/m³
# **Crystal system**: tetragonal
# **Calculated formation energy**: -474 meV per atom
data_AcGa5Pt2Au
_cell_length_a 4.494
_cell_length_b 4.494
_cell_length_c 9.960
_cell_angle_alpha 90.00
_cell_angle_beta 90.00
_cell_angle_gamma 90.00
_symmetry_space_group_name_H-M 'P 1'
_symmetry_Int_Tables_number 1
loop_
_symmetry_equiv_pos_as_xyz
'x,y,z'
loop_
_atom_site_label
_atom_site_fract_x
_atom_site_fract_y
_atom_site_fract_z
_atom_site_occupancy
Ac1 0.000 0.000 0.000 1
Ga1 0.000 0.500 0.347 1
Ga2 0.000 0.500 0.653 1
Ga3 0.500 0.000 0.347 1
Ga4 0.500 0.000 0.653 1
Ga5 0.500 0.500 0.000 1
Pt1 0.500 0.500 0.235 1
Pt2 0.500 0.500 0.765 1
Au1 0.000 0.000 0.500 1

***

[7]
# In3CuAg12, relaxed, DFT PBE
# **Density**: 9.54 Mg/m³
# **Crystal system**: tetragonal
# **Calculated formation energy**: 10 meV per atom
data_In3CuAg12
_cell_length_a 4.189
_cell_length_b 4.189
_cell_length_c 16.881
_cell_angle_alpha 90.00
_cell_angle_beta 90.00
_cell_angle_gamma 90.00
_symmetry_space_group_name_H-M 'P 1'
_symmetry_Int_Tables_number 1
loop_
_symmetry_equiv_pos_as_xyz
'x,y,z'
loop_
_atom_site_label
_atom_site_fract_x
_atom_site_fract_y
_atom_site_fract_z
_atom_site_occupancy
In1 0.000 0.000 0.000 1
In2 0.000 0.000 0.258 1
In3 0.000 0.000 0.742 1
Cu1 0.000 0.000 0.500 1
Ag1 0.000 0.500 0.129 1
Ag2 0.000 0.500 0.386 1
Ag3 0.000 0.500 0.614 1
Ag4 0.000 0.500 0.871 1
Ag5 0.500 0.000 0.129 1
Ag6 0.500 0.000 0.386 1
Ag7 0.500 0.000 0.614 1
Ag8 0.500 0.000 0.871 1
Ag9 0.500 0.500 0.000 1
Ag10 0.500 0.500 0.256 1
Ag11 0.500 0.500 0.500 1
Ag12 0.500 0.500 0.744 1

***

[8]
# MgSn2SbS, relaxed, DFT PBE
# **Density**: 4.08 Mg/m³
# **Crystal system**: tetragonal
# **E_form (uncorrected)**: 493 meV/atom
data_MgSn2SbS
_cell_length_a 5.806
_cell_length_b 5.806
_cell_length_c 5.022
_cell_angle_alpha 90.00
_cell_angle_beta 90.00
_cell_angle_gamma 90.00
_symmetry_space_group_name_H-M 'P 1'
_symmetry_Int_Tables_number 1
loop_
_symmetry_equiv_pos_as_xyz
'x,y,z'
loop_
_atom_site_label
_atom_site_fract_x
_atom_site_fract_y
_atom_site_fract_z
_atom_site_occupancy
Mg1 0.000 0.000 0.000 1
Sn1 0.000 0.500 0.500 1
Sn2 0.500 0.000 0.500 1
Sb1 0.500 0.500 0.500 1
S1 0.500 0.500 0.000 1

***

[9]
# KDy2Er, relaxed, DFT PBE
# **Density**: 6.09 Mg/m³
# **Crystal system**: trigonal
# **Calculated formation energy**: 238 meV per atom
data_KDy2Er
_cell_length_a 13.344
_cell_length_b 13.344
_cell_length_c 13.344
_cell_angle_alpha 15.34
_cell_angle_beta 15.34
_cell_angle_gamma 15.34
_symmetry_space_group_name_H-M 'P 1'
_symmetry_Int_Tables_number 1
loop_
_symmetry_equiv_pos_as_xyz
'x,y,z'
loop_
_atom_site_label
_atom_site_fract_x
_atom_site_fract_y
_atom_site_fract_z
_atom_site_occupancy
K1 0.000 0.000 0.000 1
Dy1 0.096 0.096 0.096 1
Dy2 0.904 0.904 0.904 1
Er1 0.500 0.500 0.500 1

***

[10]
# PmDySe2Cl, relaxed, DFT PBE
# **Density**: 6.85 Mg/m³
# **Crystal system**: tetragonal
# **E_form (uncorrected)**: -1871 meV/atom
data_PmDySe2Cl
_cell_length_a 4.155
_cell_length_b 4.155
_cell_length_c 14.060
_cell_angle_alpha 90.00
_cell_angle_beta 90.00
_cell_angle_gamma 90.00
_symmetry_space_group_name_H-M 'P 1'
_symmetry_Int_Tables_number 1
loop_
_symmetry_equiv_pos_as_xyz
'x,y,z'
loop_
_atom_site_label
_atom_site_fract_x
_atom_site_fract_y
_atom_site_fract_z
_atom_site_occupancy
Pm1 0.250 0.250 0.146 1
Pm2 0.750 0.750 0.854 1
Dy1 0.250 0.250 0.590 1
Dy2 0.750 0.750 0.410 1
Se1 0.250 0.250 0.382 1
Se2 0.250 0.250 0.795 1
Se3 0.750 0.750 0.205 1
Se4 0.750 0.750 0.618 1
Cl1 0.250 0.750 0.000 1
Cl2 0.750 0.250 0.000 1

***

Number 1: calculated total energy -79.684 eV/cell. Number 2: calculated total energy -59.964 eV/cell. Number 3: calculated total energy -41.484 eV/cell. Number 4: calculated total energy -60.199 eV/cell. Number 5: calculated total energy -27.944 eV/cell. Number 6: calculated total energy -38.868 eV/cell. Number 7: calculated total energy -46.359 eV/cell. Number 8: calculated total energy -15.385 eV/cell. Number 9: calculated total energy -13.913 eV/cell. Number 10: calculated total energy -55.051 eV/cell.